The following is a PBE with a Hubbard U calculation of crystalline BaCoTeO at its relaxed geometry, from OQMD via LeMat-Bulk.

Values from the calculation:
V = 398.0 Å³/cell
space group = P2_12_12_1
VASP energy = -0.37406 Ry per atom

The structure in POSCAR format:
```
BaCoTeO
1.0
7.1981 0.0000 0.0000
0.0000 7.4322 0.0000
0.0000 0.0000 7.4401
Ba Co Te O
4 4 4 4
Cartesian
0.8146 0.7814 2.8712
2.7845 6.6508 6.5913
4.4137 2.9347 4.5689
6.3835 4.4975 0.8489
1.2636 2.3764 6.0442
2.3355 5.0558 2.3241
4.8627 1.3397 1.3960
5.9346 6.0925 5.1160
0.8707 4.5731 4.5464
2.7284 2.8590 0.8264
4.4697 6.5751 2.8937
6.3275 0.8571 6.6138
1.2761 6.1167 1.2793
2.3230 1.3154 4.9994
4.8752 5.0315 6.1608
5.9221 2.4007 2.4408
```